Here is a relaxed TiCuO2 crystal from the Alexandria database. Energies are from GGA-PBE.

a b c (Å): 3.7462 3.7462 3.7462
angles (deg): 60.00 60.00 60.00
Site moments in Bohr magnetons follow the coordinates.
Sites, in units of the cell vectors:
O1 0.2500 0.2500 0.2500  0.01
O2 0.7500 0.7500 0.7500  0.01
Ti1 0.0000 0.0000 0.0000  0.88
Cu1 0.5000 0.5000 0.5000  -0.02

Values from the calculation:
Fermi-level density of states ... 3.36 states/eV/cell
Formation energy without anion corrections ... -1235 meV/atom
Calculated density ... 6.41 g/cm³
Symmetry ... No. 225
Volume ... 37.18 Å³ per cell
Magnetic moment ... 1.0 μB per cell
E ... -6.712 eV/atom